Entry 1:
Here is a geometry-optimized Nb3CdAs structure from Alexandria via LeMat-Bulk. Energies are from PBE-GGA.

Output
ΔE_f in eV/atom: 0.612
Calculated volume in Å³/atom: 22.02
Final energy in eV per atom: -6.54
ΔE to the lowest computed polymorph in meV/atom: 0.0
Calculated density in g/cm³: 7.030

Cell and atoms, written as POSCAR:
```
Nb3CdAs
1.0
-3.1221 -2.2080 -2.8890
-1.4516 -2.7344 3.6585
-3.3339 3.2583 1.1126
Cd Nb As
1 3 1
Cartesian
-3.9537 -0.8421 0.9410 Cd
-1.5610 -1.1040 -1.4445 Nb
-1.6669 1.6292 0.5563 Nb
-0.7258 -1.3672 1.8293 Nb
0.0000 0.0000 0.0000 As
```

Entry 2:
Here is a geometry-optimized BaCaIn2Rh structure from Alexandria via LeMat-Bulk. Energies are from PBE-GGA.

Output
ΔE_f in eV/atom: -0.418
Calculated volume in Å³/atom: 30.08
Final energy in eV per atom: -3.77
ΔE to the lowest computed polymorph in meV/atom: 0.0
Calculated density in g/cm³: 5.630

Cell and atoms, written as POSCAR:
```
BaCaIn2Rh
1.0
-1.4984 -4.0172 3.1339
4.9921 -0.5041 1.7406
-1.0232 3.4507 3.9341
In Ca Ba Rh
2 1 1 1
Cartesian
-0.7492 -2.0086 1.5670 In
2.4961 -0.2521 0.8703 In
-0.5116 1.7254 1.9671 Ca
1.2353 -0.5353 4.4043 Ba
0.0000 0.0000 0.0000 Rh
```

Entry 3:
Here is a geometry-optimized Ho6Ge2C structure from Alexandria via LeMat-Bulk. Energies are from PBE-GGA.

Output
ΔE_f in eV/atom: -0.322
Calculated volume in Å³/atom: 27.72
Final energy in eV per atom: -5.42
Calculated density in g/cm³: 7.634

Cell and atoms, written as POSCAR:
```
Ho6Ge2C
1.0
6.3932 0.0000 0.0000
0.0000 6.3932 0.0000
0.0000 0.0000 12.2074
Ho Ge C
12 4 2
Cartesian
4.4172 4.4172 7.8459 Ho
4.9805 1.4127 6.1037 Ho
1.4127 4.9805 6.1037 Ho
1.2206 5.1726 10.4651 Ho
1.2206 5.1726 1.7422 Ho
5.1726 1.2206 10.4651 Ho
1.9760 1.9760 7.8459 Ho
4.4172 4.4172 4.3614 Ho
5.1726 1.2206 1.7422 Ho
1.7839 1.7839 0.0000 Ho
4.6093 4.6093 0.0000 Ho
1.9760 1.9760 4.3614 Ho
3.1966 3.1966 10.1098 Ge
3.1966 3.1966 2.0976 Ge
0.0000 0.0000 4.0061 Ge
0.0000 0.0000 8.2013 Ge
0.0000 0.0000 0.0000 C
3.1966 3.1966 6.1037 C
```